Computed, not measured: an optimized crystal structure of KNa4Ca at the GGA-PBE level of DFT.

Unit cell a=3.918 b=6.122 c=10.710 alpha=90.00 beta=90.11 gamma=90.00
Element x y z (fractional)
Na (0.936, 0.000, 0.346)
Na (0.042, 0.500, 0.186)
Na (0.958, 0.500, 0.814)
Na (0.064, 0.000, 0.654)
Ca (0.500, 0.500, 0.500)
K (0.500, 0.000, 0.000)

Summary:
The volume comes out at 257 Å³/cell. The final energy comes out at -0.0493 hartree per atom. The density is 1.1 g/cm3.


Computed, not measured: an optimized crystal structure of SmHo3S at the GGA-PBE level of DFT.

Unit cell a=5.291 b=5.291 c=5.291 alpha=90.00 beta=90.00 gamma=90.00
Element x y z (fractional)
S (0.000, 0.000, 0.000)
Sm (0.500, 0.500, 0.500)
Ho (0.000, 0.000, 0.500)
Ho (0.000, 0.500, 0.000)
Ho (0.500, 0.000, 0.000)

Summary:
The volume comes out at 148 Å³/cell. The density is 7.6 g/cm3. Its raw formation energy is -0.64 eV per atom.


Computed, not measured: an optimized crystal structure of BeIn2Pb2 at the GGA-PBE level of DFT.

Unit cell a=6.860 b=6.860 c=5.554 alpha=90.00 beta=90.00 gamma=90.00
Element x y z (fractional)
Be (0.000, 0.000, 0.000)
Be (0.500, 0.500, 0.000)
In (0.655, 0.155, 0.000)
In (0.155, 0.345, 0.000)
In (0.345, 0.845, 0.000)
In (0.845, 0.655, 0.000)
Pb (0.326, 0.174, 0.500)
Pb (0.826, 0.326, 0.500)
Pb (0.674, 0.826, 0.500)
Pb (0.174, 0.674, 0.500)

Summary:
The volume comes out at 261 Å³/cell. The final energy comes out at -0.1106 hartree per atom. The density is 8.3 g/cm3.


Computed, not measured: an optimized crystal structure of Mg2PbSe at the GGA-PBE level of DFT.

Unit cell a=5.450 b=3.904 c=4.736 alpha=89.98 beta=90.00 gamma=90.00
Element x y z (fractional)
Pb (0.000, 0.375, 0.494)
Mg (0.000, 0.875, 0.986)
Mg (0.500, 0.375, 0.195)
Se (0.500, 0.875, 0.825)

Summary:
The volume comes out at 101 Å³/cell. The density is 5.5 g/cm3. Its raw formation energy is -0.33 eV per atom.


What did the fourth record say?
Computed, not measured: an optimized crystal structure of Mg2PbSe at the GGA-PBE level of DFT.

Unit cell a=5.450 b=3.904 c=4.736 alpha=89.98 beta=90.00 gamma=90.00
Element x y z (fractional)
Pb (0.000, 0.375, 0.494)
Mg (0.000, 0.875, 0.986)
Mg (0.500, 0.375, 0.195)
Se (0.500, 0.875, 0.825)

Summary:
The volume comes out at 101 Å³/cell. The density is 5.5 g/cm3. Its raw formation energy is -0.33 eV per atom.